Entry from Alexandria via LeMat-Bulk: an optimized crystal structure of Cs2Na2RuO6 (PBE-GGA).

Lattice parameters (Å, degrees): 5.893 5.893 6.964 99.67 99.67 116.89
Last column: magnetic moment on the atom in μB.
Atoms (fractional coordinates):
Na: 0.340 0.660 0.500  0.00
Na: 0.660 0.340 0.500  0.00
O: 0.200 0.200 0.340  -0.03
O: 0.951 0.683 0.334  0.05
O: 0.800 0.800 0.660  -0.03
O: 0.317 0.049 0.666  0.05
O: 0.683 0.951 0.334  0.05
O: 0.049 0.317 0.666  0.05
Ru: 0.000 0.000 0.500  -0.02
Cs: 0.825 0.175 0.000  0.00
Cs: 0.175 0.825 0.000  0.00

Properties
**Formation energy from raw total energies**: -1.111 eV/atom
**Mass density**: 4.1 Mg/m³

=====

Entry from Alexandria via LeMat-Bulk: an optimized crystal structure of Cs3Na2RuO6 (PBE-GGA).

Lattice parameters (Å, degrees): 6.282 6.282 6.727 98.36 98.36 120.46
Last column: magnetic moment on the atom in μB.
Atoms (fractional coordinates):
Cs: 0.500 0.500 0.500  0.00
Cs: 0.171 0.829 0.500  0.00
Cs: 0.829 0.171 0.500  0.00
Na: 0.665 0.335 0.000  0.01
Na: 0.335 0.665 0.000  0.01
O: 0.686 0.941 0.834  0.04
O: 0.314 0.059 0.166  0.04
O: 0.941 0.686 0.834  0.04
O: 0.197 0.197 0.821  0.05
O: 0.059 0.314 0.166  0.04
O: 0.803 0.803 0.179  0.05
Ru: 0.000 0.000 0.000  0.65

Properties
**Formation energy from raw total energies**: -1.132 eV/atom
**Mass density**: 4.9 Mg/m³

=====

no.,calculated total energy (eV/atom)
1,-5.05
2,-4.82